First-principles (SCAN) data for Li3PtS at its PBEsol-relaxed geometry, as listed in Alexandria via LeMat-Bulk.

a b c (Å): 4.3828 4.3828 4.3828
angles (deg): 90.00 90.00 90.00
Fractional positions:
Pt1 0.5000 0.5000 0.5000
S1 0.0000 0.0000 0.0000
Li1 0.5000 0.0000 0.0000
Li2 0.0000 0.5000 0.0000
Li3 0.0000 0.0000 0.5000

Computed properties:
Theoretical density, g/cm³: 4.89
Magnetization, μB/f.u.: 0.918
Electronic total energy, eV/atom: -17.801
Space group: Pm-3m, No. 221


First-principles (SCAN) data for LiPt2S at its PBEsol-relaxed geometry, as listed in Alexandria via LeMat-Bulk.

a b c (Å): 5.1279 5.1279 8.1293
angles (deg): 108.38 108.38 90.00
Fractional positions:
Pt1 0.1250 0.9091 0.7500
Pt2 0.1591 0.8750 0.2500
Pt3 0.0909 0.3750 0.2500
Pt4 0.6250 0.8409 0.7500
Li1 0.7500 0.2500 0.5000
Li2 0.5000 0.5000 0.0000
S1 0.0000 0.0000 0.0000
S2 0.2500 0.7500 0.5000

Computed properties:
Theoretical density, g/cm³: 7.45
Magnetization, μB/f.u.: 0.000
Electronic total energy, eV/atom: -38.405
Space group: I-42d, No. 122


First-principles (SCAN) data for LiSbPt3 at its PBEsol-relaxed geometry, as listed in Alexandria via LeMat-Bulk.

a b c (Å): 4.9168 4.9168 4.9168
angles (deg): 90.00 90.00 90.00
Fractional positions:
Pt1 0.0000 0.0000 0.5000
Pt2 0.0000 0.5000 0.0000
Pt3 0.5000 0.0000 0.0000
Sb1 0.0000 0.0000 0.0000
Li1 0.5000 0.5000 0.5000

Computed properties:
Theoretical density, g/cm³: 9.97
Magnetization, μB/f.u.: 0.000
Electronic total energy, eV/atom: -49.524
Space group: Pm-3m, No. 221


Energy relative to the elements, uncorrected? In order: -0.403 -0.304 0.522 eV/atom.